Entry 1:
DFT (PBE) results for a relaxed structure of Y8ZnS6.

POSCAR file:
```
Y8ZnS6
1.0
10.2618 0.0000 0.0000
-5.1309 8.8870 0.0000
0.0000 0.0000 3.9216
Y Zn S
8 1 6
Cartesian
-3.2441 6.2253 0.9854
1.3616 2.9648 0.9854
0.0000 5.9246 2.9383
3.2484 0.3032 2.9362
1.8825 8.5838 0.9854
5.1309 2.9623 0.9833
3.7693 5.9221 2.9362
8.3750 2.6616 2.9362
0.0000 0.0000 1.9608
-1.0793 4.2965 0.9795
-0.8704 7.6734 0.9795
3.1812 3.0829 2.9421
1.9497 5.8040 0.9795
6.0013 1.2135 2.9421
6.2102 4.5905 2.9421
```

Computed properties:
- V: 357.6 Å³/cell
- Magnetic moment: 0.00 μB/cell
- Formation energy (no corrections): -1.48 eV per atom
- Symmetry: P-3
- Crystal system: trigonal

Entry 2:
DFT (PBE) results for a relaxed structure of HfMgPb3.

POSCAR file:
```
HfMgPb3
1.0
5.6480 0.0000 0.0000
0.0000 5.6480 0.0000
0.0000 0.0000 5.6480
Hf Mg Pb
1 1 3
Cartesian
0.0000 0.0000 0.0000
2.8240 2.8240 2.8240
0.0000 0.0000 2.8240
0.0000 2.8240 0.0000
2.8240 0.0000 0.0000
```

Computed properties:
- V: 180.2 Å³/cell
- Calculated formation energy: 418.1 meV per atom
- Magnetic moment: 0.00 μB/cell
- Symmetry: Pm-3m
- Offset from the most stable computed form: 0.0000 eV/atom
- Crystal system: cubic

Entry 3:
DFT (PBE) results for a relaxed structure of VFe2I.

POSCAR file:
```
VFe2I
1.0
6.0937 0.0000 0.0000
0.0000 6.0937 0.0000
0.0000 0.0000 6.0937
V Fe I
4 8 4
Cartesian
0.0000 0.0000 0.0000
0.0000 3.0468 3.0468
3.0468 0.0000 3.0468
3.0468 3.0468 0.0000
1.5234 1.5234 1.5234
1.5234 1.5234 4.5702
1.5234 4.5702 1.5234
1.5234 4.5702 4.5702
4.5702 1.5234 1.5234
4.5702 1.5234 4.5702
4.5702 4.5702 1.5234
4.5702 4.5702 4.5702
0.0000 0.0000 3.0468
0.0000 3.0468 0.0000
3.0468 0.0000 0.0000
3.0468 3.0468 3.0468
```

Computed properties:
- V: 226.3 Å³/cell
- Magnetic moment: 14.73 μB/cell
- Formation energy (no corrections): 0.83 eV per atom
- Symmetry: Fm-3m
- Offset from the most stable computed form: 0.0000 eV/atom
- Crystal system: cubic

Entry 4:
DFT (PBE) results for a relaxed structure of Ni2HOs.

POSCAR file:
```
Ni2HOs
1.0
5.6376 0.0000 0.0000
0.0000 5.6376 0.0000
0.0000 0.0000 5.6376
Ni H Os
8 4 4
Cartesian
1.4094 1.4094 1.4094
1.4094 1.4094 4.2282
1.4094 4.2282 1.4094
1.4094 4.2282 4.2282
4.2282 1.4094 1.4094
4.2282 1.4094 4.2282
4.2282 4.2282 1.4094
4.2282 4.2282 4.2282
0.0000 0.0000 0.0000
0.0000 2.8188 2.8188
2.8188 0.0000 2.8188
2.8188 2.8188 0.0000
0.0000 0.0000 2.8188
0.0000 2.8188 0.0000
2.8188 0.0000 0.0000
2.8188 2.8188 2.8188
```

Computed properties:
- V: 179.2 Å³/cell
- Magnetic moment: 4.12 μB/cell
- Symmetry: Fm-3m
- Offset from the most stable computed form: 0.5603 eV/atom
- Crystal system: cubic

Entry 5:
DFT (PBE) results for a relaxed structure of Th2Al5Au3.

POSCAR file:
```
Th2Al5Au3
1.0
-5.3327 6.1213 3.1144
5.3327 -6.1213 3.1144
5.3327 6.1213 -3.1144
Th Al Au
4 10 6
Cartesian
2.5432 1.5936 0.0000
2.5432 -1.5936 3.1144
2.7894 7.7149 0.0000
2.7894 4.5277 3.1144
5.3327 -2.9261 1.5572
6.8725 1.4098 0.0000
0.0000 0.0000 1.5572
1.5398 4.7115 0.0000
5.3327 2.9261 1.5572
0.0000 3.1952 1.5572
3.7928 1.4098 3.1144
0.0000 0.0000 4.6716
-1.5398 4.7115 3.1144
0.0000 9.0475 1.5572
4.0332 -4.5367 3.1144
5.3327 0.0000 1.5572
4.0332 4.5367 0.0000
1.2995 1.5847 3.1144
0.0000 6.1213 1.5572
1.2995 10.6580 0.0000
```

Computed properties:
- V: 406.7 Å³/cell
- Calculated formation energy: -647.8 meV per atom
- Magnetic moment: 0.00 μB/cell
- Symmetry: Ibam
- Crystal system: orthorhombic

Entry 6:
DFT (PBE) results for a relaxed structure of SiHC2Cl.

POSCAR file:
```
SiHC2Cl
1.0
3.9915 0.0000 0.0000
0.0000 3.9915 0.0000
0.0000 0.0000 3.3553
Si H C Cl
1 1 2 1
Cartesian
0.0000 0.0000 0.0000
0.0000 0.0000 1.6776
0.0000 1.9958 1.6776
1.9958 0.0000 1.6776
1.9958 1.9958 0.0000
```

Computed properties:
- V: 53.5 Å³/cell
- Magnetic moment: 0.00 μB/cell
- E_tot: -3.274 eV per atom
- Symmetry: P4/mmm
- Crystal system: tetragonal

Entry 7:
DFT (PBE) results for a relaxed structure of SrTc2P.

POSCAR file:
```
SrTc2P
1.0
5.8107 0.0000 0.0000
0.0000 9.5851 0.0000
-1.4374 0.0000 2.5080
Sr Tc P
2 4 2
Cartesian
0.0000 0.0000 0.0000
2.9053 4.7925 0.0000
1.4527 2.3963 0.0000
1.4527 7.1888 0.0000
4.3580 2.3963 0.0000
4.3580 7.1888 0.0000
0.0000 4.7925 0.0000
2.9053 0.0000 0.0000
```

Computed properties:
- V: 139.7 Å³/cell
- Calculated formation energy: 731.0 meV per atom
- Magnetic moment: 0.00 μB/cell
- Symmetry: C2/m
- Offset from the most stable computed form: 1.0025 eV/atom
- Crystal system: monoclinic

Entry 8:
DFT (PBE) results for a relaxed structure of La6Pm2Tl.

POSCAR file:
```
La6Pm2Tl
1.0
-2.3773 3.5700 9.3992
2.3773 -3.5700 9.3992
2.3773 3.5700 -9.3992
La Pm Tl
6 2 1
Cartesian
2.3773 1.9528 -1.9886
0.0000 1.5586 0.0000
0.0000 1.6576 3.6546
0.0000 1.6172 7.4106
0.0000 5.5814 0.0000
0.0000 5.4824 3.6546
0.0000 0.0000 11.1204
0.0000 0.0000 14.9552
2.3773 0.0000 5.5260
```

Computed properties:
- V: 319.1 Å³/cell
- Calculated formation energy: 141.4 meV per atom
- Magnetic moment: 0.00 μB/cell
- Symmetry: Imm2
- Offset from the most stable computed form: 0.2282 eV/atom
- Crystal system: orthorhombic